The following is a DFT calculation (PBE+U) of MoSeN2O after structural relaxation.

Computed properties:
The total magnetization comes out at 0.9 μB per cell. As for the space-group type: P4/mmm (123). The total energy is -26.6 eV/cell. For the volume, the calculation gives 15.85 A^3/atom.

Unit cell a=3.827 b=3.827 c=5.413 alpha=90.00 beta=90.00 gamma=90.00
Site moments in Bohr magnetons follow the coordinates.
Atoms (fractional coordinates):
1 N 0.500 0.000 0.000  0.62
2 Mo 0.000 0.000 0.000  -1.05
3 N 0.000 0.500 0.000  0.62
4 Se 0.000 0.000 0.500  0.14
5 O 0.500 0.500 0.500  0.05